# SrBe5Au7

A relaxed structure of SrBe5Au7 (PBE-GGA, the Alexandria database).

Unit cell a=5.1097 b=6.8002 c=6.8002 alpha=81.60 beta=67.93 gamma=67.93
Last column: nearest neighbours and their distance in Å.
Element x y z (fractional)
Au  0.9702  0.3713  0.6883  3 Be 2.44-2.55
Au  0.9702  0.6883  0.3713  3 Be 2.44-2.55
Au  0.5330  0.7680  0.1660  3 Be 2.43-2.51
Au  0.6488  0.3512  0.3512  5 Au 2.77-2.91, 4 Be 2.80, 1 Sr 3.05
Au  0.2695  0.2305  0.2305  4 Be 2.59, 2 Au 2.77
Au  0.5330  0.1660  0.7680  3 Be 2.43-2.51
Au  0.3229  0.6771  0.6771  6 Be 2.57-2.68
Be  0.0156  0.4980  0.9872  4 Au 2.43-2.59, 3 Be 2.47-2.64
Be  0.7328  0.7672  0.7672  6 Au 2.51-2.68, 4 Be 2.55
Be  0.0156  0.9872  0.4980  4 Au 2.43-2.59, 3 Be 2.47-2.64
Be  0.4992  0.9872  0.4980  4 Au 2.43-2.59, 3 Be 2.47-2.64
Be  0.4992  0.4980  0.9872  4 Au 2.43-2.59, 3 Be 2.47-2.64
Sr  0.9902  0.0098  0.0098  10 Au 2.97-3.23

Summary:
Symmetry: Imm2 (44)
Calculated formation energy in kJ/mol of atoms: -19.5

# KTlVCl4

A relaxed structure of KTlVCl4 (PBE-GGA, the Alexandria database).

Unit cell a=4.9623 b=4.9623 c=8.6732 alpha=106.62 beta=106.62 gamma=90.00
Last column: nearest neighbours and their distance in Å.
Element x y z (fractional)
Tl  0.6433  0.6433  0.2867  9 Cl 3.18-3.52
Cl  0.9981  0.4981  0.9963  2 V 2.48
Cl  0.1578  0.1578  0.3156  1 V 2.48
Cl  0.4981  0.9981  0.9963  2 V 2.48
Cl  0.8437  0.8437  0.6874  1 V 2.50
K  0.3575  0.3575  0.7151  9 Cl 3.17-3.52
V  0.0014  0.0014  0.0027  6 Cl 2.48-2.50

Summary:
Symmetry: I4mm (107)
E_form (uncorrected) in eV/atom: -1.3161

# OsPdS2N

A relaxed structure of OsPdS2N (PBE-GGA, the Alexandria database).

Unit cell a=4.7822 b=4.7822 c=3.5780 alpha=90.00 beta=90.00 gamma=90.00
Last column: nearest neighbours and their distance in Å.
Element x y z (fractional)
Pd  0.0000  0.0000  0.0000  2 N 1.79
N  0.0000  0.0000  0.5000  2 Pd 1.79
Os  0.5000  0.5000  0.5000  8 S 2.99
S  0.0000  0.5000  0.0000  2 Pd 2.39
S  0.5000  0.0000  0.0000  2 Pd 2.39

Summary:
Symmetry: P4/mmm (123)
E_form (uncorrected) in eV/atom: 1.6591
Offset from the most stable computed form in meV per atom: 1032.0

# ScMo4As

A relaxed structure of ScMo4As (PBE-GGA, the Alexandria database).

Unit cell a=5.2998 b=5.2998 c=5.2998 alpha=60.00 beta=60.00 gamma=60.00
Last column: nearest neighbours and their distance in Å.
Element x y z (fractional)
Sc  0.2500  0.2500  0.2500  12 Mo 3.11, 4 As 3.25
Mo  0.6259  0.6259  0.1224  6 Mo 2.63-2.67
Mo  0.6259  0.6259  0.6259  6 Mo 2.63-2.67
Mo  0.1224  0.6259  0.6259  6 Mo 2.63-2.67
Mo  0.6259  0.1224  0.6259  6 Mo 2.63-2.67
As  0.0000  0.0000  0.0000  12 Mo 3.11, 4 Sc 3.25

Summary:
Symmetry: F-43m (216)
Calculated formation energy in kJ/mol of atoms: 23.8

# NpAg3I6Br2

A relaxed structure of NpAg3I6Br2 (PBE-GGA, the Alexandria database).

Unit cell a=7.2302 b=8.5462 c=8.4666 alpha=120.31 beta=102.69 gamma=90.00
Last column: nearest neighbours and their distance in Å.
Element x y z (fractional)
I  0.2574  0.1393  0.2786  2 Ag 2.97, 1 Np 3.01
I  0.2450  0.6494  0.7925  1 Np 2.95, 1 Ag 3.16
I  0.2450  0.1431  0.7925  1 Np 2.95, 1 Ag 3.16
I  0.7426  0.8607  0.7214  2 Ag 2.97, 1 Np 3.01
I  0.7550  0.8569  0.2075  1 Np 2.95, 1 Ag 3.16
I  0.7550  0.3506  0.2075  1 Np 2.95, 1 Ag 3.16
Ag  0.0000  0.5000  0.0000  2 Br 2.58
Ag  0.5000  0.0000  0.5000  2 Br 2.85, 4 I 2.97-3.16
Ag  0.5000  0.5000  0.5000  2 Br 2.85, 4 I 2.97-3.16
Br  0.2691  0.6547  0.3093  3 Ag 2.58-2.85
Br  0.7309  0.3453  0.6907  3 Ag 2.58-2.85
Np  0.5000  0.0000  0.0000  6 I 2.95-3.01

Summary:
Symmetry: C2/m (12)
E_form (uncorrected) in eV/atom: -0.4404

# La3In2Rh

A relaxed structure of La3In2Rh (PBE-GGA, the Alexandria database).

Unit cell a=7.5144 b=7.5144 c=6.7813 alpha=75.83 beta=75.83 gamma=90.38
Last column: nearest neighbours and their distance in Å.
Element x y z (fractional)
La  0.2902  0.0394  0.4410  2 Rh 3.15-3.36, 4 In 3.25-3.34, 1 La 3.46
La  0.0394  0.2902  0.9410  2 Rh 3.15-3.36, 4 In 3.25-3.34, 1 La 3.46
La  0.5766  0.4234  0.7500  1 Rh 2.57
La  0.9606  0.7098  0.0590  2 Rh 3.15-3.36, 4 In 3.25-3.34, 1 La 3.46
La  0.4234  0.5766  0.2500  1 Rh 2.57
La  0.7098  0.9606  0.5590  2 Rh 3.15-3.36, 4 In 3.25-3.34, 1 La 3.46
In  0.9746  0.3370  0.4310  1 In 2.88, 1 Rh 2.89
In  0.3370  0.9746  0.9310  1 In 2.88, 1 Rh 2.89
In  0.6630  0.0254  0.0690  1 In 2.88, 1 Rh 2.89
In  0.0254  0.6630  0.5690  1 In 2.88, 1 Rh 2.89
Rh  0.3352  0.6648  0.7500  1 La 2.57
Rh  0.6648  0.3352  0.2500  1 La 2.57

Summary:
Symmetry: C2/c (15)
Calculated formation energy in kJ/mol of atoms: -50.3

# LiSn2I8

A relaxed structure of LiSn2I8 (PBE-GGA, the Alexandria database).

Unit cell a=7.2924 b=9.0603 c=9.0603 alpha=80.58 beta=84.65 gamma=84.65
Last column: nearest neighbours and their distance in Å.
Element x y z (fractional)
I  0.8013  0.0858  0.7238  1 Sn 2.81, 1 Li 2.97
I  0.1987  0.9142  0.2762  1 Sn 2.81, 1 Li 2.97
I  0.8013  0.7238  0.0858  1 Sn 2.81, 1 Li 2.97
I  0.7055  0.1980  0.1980  1 Sn 2.79
I  0.8543  0.6044  0.6044  1 Sn 2.80
I  0.1457  0.3956  0.3956  1 Sn 2.80
I  0.2945  0.8020  0.8020  1 Sn 2.79
I  0.1987  0.2762  0.9142  1 Sn 2.81, 1 Li 2.97
Sn  0.6784  0.7963  0.7963  4 I 2.79-2.81
Sn  0.3216  0.2037  0.2037  4 I 2.79-2.81
Li  0.0000  0.0000  0.0000  6 I 2.97-3.27

Summary:
Symmetry: C2/m (12)
E_form (uncorrected) in eV/atom: -0.4684

# Cr2HgSe

A relaxed structure of Cr2HgSe (PBE-GGA, the Alexandria database).

Unit cell a=3.5870 b=3.5856 c=6.2229 alpha=90.00 beta=90.00 gamma=90.00
Last column: nearest neighbours and their distance in Å.
Element x y z (fractional)
Se  0.5000  0.5000  0.8466  5 Cr 2.51-2.62
Hg  0.0000  0.0000  0.4494  6 Cr 2.82-3.14
Cr  0.0000  0.0000  0.9540  4 Se 2.62
Cr  0.5000  0.5000  0.2500  1 Se 2.51

Summary:
Symmetry: P4mm (99)
E_form (uncorrected) in eV/atom: 0.3187
Offset from the most stable computed form in meV per atom: 104.8

Number 1: DOS(E_F) 0.278 states/eV per atom. Number 2: DOS(E_F) 0.128 states/eV per atom. Number 3: DOS(E_F) 1.000 states/eV per atom. Number 4: DOS(E_F) 0.886 states/eV per atom. Number 5: DOS(E_F) 0.927 states/eV per atom. Number 6: DOS(E_F) 0.899 states/eV per atom. Number 7: DOS(E_F) 0.465 states/eV per atom. Number 8: DOS(E_F) 0.941 states/eV per atom.